Record 1
Density functional theory data (PBE) for a relaxed structure of NbSb2O4.

Properties
Raw total energy (eV per formula unit): -46.34
Space group: I4_1/amd, No. 141
Calculated volume (Å³/f.u.): 117

Lattice parameters (Å, degrees): 6.9220 6.9220 6.9220 119.98 90.04 119.98
Fractional coordinates of all 14 atoms:
Nb: 0.7500 0.5000 0.2500
Nb: 0.0000 0.0000 0.0000
Sb: 0.3750 0.7500 0.1250
Sb: 0.3750 0.2500 0.6250
Sb: 0.8750 0.2500 0.6250
Sb: 0.3750 0.7500 0.6250
O: 0.6389 0.7223 0.3612
O: 0.6388 0.2777 0.3611
O: 0.6389 0.2777 0.9165
O: 0.0835 0.7223 0.3611
O: 0.1111 0.7777 0.8888
O: 0.1112 0.2223 0.8889
O: 0.6665 0.7777 0.8889
O: 0.1111 0.2223 0.3335


Record 2
Density functional theory data (PBE) for a relaxed structure of NbSbO4.

Properties
Raw total energy (eV per formula unit): -45.48
Space group: C2/c, No. 15
Calculated volume (Å³/f.u.): 74

Lattice parameters (Å, degrees): 6.2671 6.2671 5.2887 109.80 109.80 50.45
Fractional coordinates of all 12 atoms:
O: 0.3113 0.4455 0.2930
O: 0.0588 0.1717 0.1005
O: 0.8283 0.9412 0.3995
O: 0.1717 0.0588 0.6005
O: 0.5545 0.6887 0.2070
O: 0.4455 0.3113 0.7930
O: 0.9412 0.8283 0.8995
O: 0.6887 0.5545 0.7070
Sb: 0.5000 0.0000 0.0000
Sb: 0.0000 0.5000 0.5000
Nb: 0.2104 0.7896 0.2500
Nb: 0.7896 0.2104 0.7500


Record 3
Density functional theory data (PBE) for a relaxed structure of Nb2Sb2O5.

Properties
Raw total energy (eV per formula unit): -57.42
Space group: P4/mmm, No. 123
Calculated volume (Å³/f.u.): 127

Lattice parameters (Å, degrees): 7.1458 4.2123 4.2123 90.00 90.00 90.00
Site moments in Bohr magnetons follow the coordinates.
Fractional coordinates of all 9 atoms:
Sb: 0.7912 0.5000 0.5000  -0.01
Sb: 0.2088 0.5000 0.5000  -0.01
O: 0.1797 0.0000 0.5000  0.02
O: 0.5000 0.5000 0.5000  0.00
O: 0.8203 0.5000 0.0000  0.03
O: 0.8203 0.0000 0.5000  0.02
O: 0.1797 0.5000 0.0000  0.03
Nb: 0.0000 0.0000 0.0000  0.67
Nb: 0.5000 0.0000 0.0000  2.74


Record 4
Density functional theory data (PBE) for a relaxed structure of NbSbO4.

Properties
Raw total energy (eV per formula unit): -46.33
Space group: Pnna, No. 52
Calculated volume (Å³/f.u.): 82

Lattice parameters (Å, degrees): 5.5999 4.9575 11.7758 90.00 90.00 90.00
Fractional coordinates of all 24 atoms:
Nb: 0.6401 0.7500 0.7500
Nb: 0.8599 0.7500 0.2500
Nb: 0.3599 0.2500 0.2500
Nb: 0.1401 0.2500 0.7500
O: 0.1499 0.9896 0.3078
O: 0.8501 0.4896 0.8078
O: 0.1499 0.5104 0.1922
O: 0.6499 0.4896 0.1922
O: 0.9240 0.9234 0.0956
O: 0.5760 0.9234 0.9044
O: 0.4240 0.0766 0.0956
O: 0.6499 0.0104 0.3078
O: 0.8501 0.0104 0.6922
O: 0.3501 0.9896 0.6922
O: 0.3501 0.5104 0.8078
O: 0.9240 0.5766 0.4043
O: 0.4240 0.4234 0.4043
O: 0.5760 0.5766 0.5956
O: 0.0760 0.0766 0.9044
O: 0.0760 0.4234 0.5956
Sb: 0.2500 0.7053 0.5000
Sb: 0.2500 0.7947 0.0000
Sb: 0.7500 0.2947 0.5000
Sb: 0.7500 0.2053 0.0000


Record 5
Density functional theory data (PBE) for a relaxed structure of NbSbO4.

Properties
Raw total energy (eV per formula unit): -45.68
Space group: I4_1md, No. 109
Calculated volume (Å³/f.u.): 81

Lattice parameters (Å, degrees): 5.9411 5.9411 5.9411 108.87 108.87 110.67
Fractional coordinates of all 12 atoms:
Nb: 0.5084 0.0084 0.5000
Nb: 0.7584 0.7584 0.0000
O: 0.7081 0.5222 0.1859
O: 0.2722 0.5863 0.3141
O: 0.1625 0.9587 0.2039
O: 0.2722 0.9581 0.6859
O: 0.7087 0.0048 0.2961
O: 0.7548 0.9587 0.7961
O: 0.3363 0.5222 0.8141
O: 0.7087 0.4125 0.7039
Sb: 0.2799 0.2799 0.0000
Sb: 0.0299 0.5299 0.5000


Record 6
Density functional theory data (PBE) for a relaxed structure of ScNbO4.

Properties
Raw total energy (eV per formula unit): -54.27
Space group: C2/m, No. 12
Calculated volume (Å³/f.u.): 83

Lattice parameters (Å, degrees): 6.7210 6.7210 6.8670 106.56 106.56 33.88
Fractional coordinates of all 12 atoms:
Sc: 0.1956 0.1995 0.3037
Sc: 0.8005 0.8044 0.6963
Nb: 0.8957 0.8999 0.2789
Nb: 0.1001 0.1043 0.7211
O: 0.3665 0.3704 0.2980
O: 0.9446 0.9496 0.6316
O: 0.8661 0.8683 0.0015
O: 0.1317 0.1339 0.9985
O: 0.6296 0.6335 0.7020
O: 0.2506 0.2544 0.6462
O: 0.7456 0.7494 0.3538
O: 0.0504 0.0554 0.3684